Entry 1:
Here is crystalline Mg3BN3 at its relaxed geometry from Alexandria. Energies are from GGA-PBEsol.

Cell lengths 3.5379, 3.5379, 16.0465 Å; angles 90.00, 90.00, 120.00 degrees
With the nearest neighbours (Å) after each atom.
Sites, in units of the cell vectors:
Mg (0.3333, 0.6667, 0.1226)  4 N 2.04-2.13
Mg (0.6667, 0.3333, 0.6226)  4 N 2.04-2.13
Mg (0.6667, 0.3333, 0.8774)  4 N 2.04-2.13
Mg (0.3333, 0.6667, 0.3774)  4 N 2.04-2.13
Mg (0.0000, 0.0000, 0.7500)  3 N 2.04
Mg (0.0000, 0.0000, 0.2500)  3 N 2.04
B (0.0000, 0.0000, 0.0000)  2 N 1.35
B (0.0000, 0.0000, 0.5000)  2 N 1.35
N (0.0000, 0.0000, 0.0839)  1 B 1.35
N (0.0000, 0.0000, 0.5839)  1 B 1.35
N (0.0000, 0.0000, 0.9161)  1 B 1.35
N (0.0000, 0.0000, 0.4161)  1 B 1.35
N (0.3333, 0.6667, 0.2500)  5 Mg 2.04
N (0.6667, 0.3333, 0.7500)  5 Mg 2.04

***

Entry 2:
Here is crystalline MgBSeN2 at its relaxed geometry from Alexandria. Energies are from GGA-PBEsol.

Cell lengths 3.2882, 3.2882, 6.6963 Å; angles 90.00, 90.00, 90.00 degrees
With the nearest neighbours (Å) after each atom.
Sites, in units of the cell vectors:
Mg (0.5000, 0.5000, 0.5000)  4 Se 2.33
B (0.0000, 0.0000, 0.0000)  4 N 1.64
Se (0.0000, 0.0000, 0.5000)  4 Mg 2.33
N (0.0000, 0.5000, 0.0000)  2 B 1.64
N (0.5000, 0.0000, 0.0000)  2 B 1.64

Computed properties:
The value obtained for the density of states at the Fermi level is 3.3 states/eV/f.u.

***

Entry 3:
Here is crystalline MgBTe2N at its relaxed geometry from Alexandria. Energies are from GGA-PBEsol.

Cell lengths 3.7192, 5.4542, 5.4542 Å; angles 90.00, 90.00, 90.00 degrees
With the nearest neighbours (Å) after each atom.
Sites, in units of the cell vectors:
Mg (0.0000, 0.0000, 0.0000)  2 N 1.86
Te (0.0000, 0.0000, 0.5000)  2 Mg 2.73
Te (0.0000, 0.5000, 0.0000)  2 Mg 2.73
B (0.5000, 0.5000, 0.5000)  8 Te 3.30
N (0.5000, 0.0000, 0.0000)  2 Mg 1.86

Computed properties:
The value obtained for the density of states at the Fermi level is 3.8 states/eV/f.u.

***

Energy relative to the elements, uncorrected, record by record: -0.93; 0.76; 1.51 eV/atom